Record 1
DFT (PBE) results for YSbTe2I after structural relaxation.

The calculation puts the density of states at the Fermi level at 0.64 states/eV per atom. The volume comes out at 38.0 Å³ per atom. The calculation puts the size of the total moment at 0.0 μB per formula unit. Its distance to the lowest polymorph of the same formula is 0.2386 eV per atom.

The structure belongs to space group P4/mmm (No. 123); the cell edges are 5.7918, 5.7918 and 5.6693 Å and the angles 90.00°, 90.00° and 90.00°. The asymmetric unit holds Y at (0.0000, 0.0000, 0.0000), Sb at (0.5000, 0.5000, 0.5000), Te at (0.0000, 0.5000, 0.5000) and I at (0.5000, 0.5000, 0.0000).



Record 2
DFT (PBE) results for Pm5Fe3As12 after structural relaxation.

The calculation puts the density of states at the Fermi level at 0.63 states/eV per atom. The volume comes out at 26.4 Å³ per atom. For the energy relative to the elements, the calculation gives -0.261 eV per atom. The calculation puts the size of the total moment at 7.8 μB per formula unit.

The structure belongs to space group Ia-3d (No. 230); the cell edges are 16.1750, 16.1750 and 16.1750 Å and the angles 90.00°, 90.00° and 90.00°. The asymmetric unit holds Pm at (0.0000, 0.0000, 0.0000), Pm at (0.0000, 0.2500, 0.3750), Fe at (0.0000, 0.2500, 0.1250) and As at (0.0314, 0.1099, 0.6468).



Record 3
DFT (PBE) results for ZrBeNiHg2 after structural relaxation.

The calculation puts the density of states at the Fermi level at 0.84 states/eV per atom. The volume comes out at 19.1 Å³ per atom. For the energy relative to the elements, the calculation gives 0.518 eV per atom. The calculation puts the size of the total moment at 0.0 μB per formula unit.

The structure belongs to space group P4/mmm (No. 123); the cell edges are 4.4532, 4.4532 and 4.8074 Å and the angles 90.00°, 90.00° and 90.00°. The asymmetric unit holds Zr at (0.0000, 0.0000, 0.0000), Be at (0.0000, 0.0000, 0.5000), Ni at (0.5000, 0.5000, 0.0000) and Hg at (0.0000, 0.5000, 0.5000).



Record 4
DFT (PBE) results for BaTaIrO6 after structural relaxation.

The calculation puts the density of states at the Fermi level at 0.29 states/eV per atom. The volume comes out at 15.2 Å³ per atom. The calculation puts the size of the total moment at 1.3 μB per formula unit. The total DFT energy (no corrections) comes out at -281.8 eV for the cell shown.

The structure belongs to space group Imma (No. 74); the cell edges are 7.0950, 7.4193 and 10.4057 Å and the angles 90.00°, 90.00° and 90.00°. The asymmetric unit holds Ba at (0.0000, 0.2500, 0.0881), Ta at (0.0000, 0.0000, 0.5000), Ir at (0.2500, 0.2500, 0.7500), O at (0.0000, 0.2500, 0.4321), O at (0.0000, 0.2500, 0.8215) and O at (0.2088, 0.0579, 0.6213).



Record 5
DFT (PBE) results for Mg5TlCd2Pb2 after structural relaxation.

The calculation puts the density of states at the Fermi level at 0.30 states/eV per atom. The volume comes out at 25.5 Å³ per atom. For the energy relative to the elements, the calculation gives 0.006 eV per atom. The calculation puts the size of the total moment at 0.0 μB per formula unit.

The structure belongs to space group P4/mbm (No. 127); the cell edges are 10.6907, 10.6907 and 4.4689 Å and the angles 90.00°, 90.00° and 90.00°. The asymmetric unit holds Mg at (0.0000, 0.5000, 0.0000), Mg at (0.0654, 0.2040, 0.0000), Tl at (0.0000, 0.0000, 0.5000), Cd at (0.1229, 0.3771, 0.5000) and Pb at (0.1730, 0.6730, 0.5000).



Record 6
DFT (PBE) results for K2ZrOs after structural relaxation.

The calculation puts the density of states at the Fermi level at 0.80 states/eV per atom. The volume comes out at 24.5 Å³ per atom. For the energy relative to the elements, the calculation gives 1.182 eV per atom. The calculation puts the size of the total moment at 1.0 μB per formula unit. Its distance to the lowest polymorph of the same formula is 0.7606 eV per atom.

The structure belongs to space group Pmmm (No. 47); the cell edges are 2.8292, 5.6452 and 6.1339 Å and the angles 90.00°, 90.00° and 90.00°. The asymmetric unit holds K at (0.0000, 0.2414, 0.0000), Zr at (0.5000, 0.5000, 0.5000) and Os at (0.5000, 0.0000, 0.5000).



Record 7
DFT (PBE) results for YTiSb2Te after structural relaxation.

The calculation puts the density of states at the Fermi level at 0.73 states/eV per atom. The volume comes out at 29.7 Å³ per atom. The calculation puts the size of the total moment at 0.0 μB per formula unit. Its distance to the lowest polymorph of the same formula is 0.0000 eV per atom.

The structure belongs to space group P4/mmm (No. 123); the cell edges are 5.2221, 5.2221 and 5.4364 Å and the angles 90.00°, 90.00° and 90.00°. The asymmetric unit holds Y at (0.0000, 0.0000, 0.0000), Ti at (0.5000, 0.5000, 0.5000), Sb at (0.0000, 0.5000, 0.5000) and Te at (0.5000, 0.5000, 0.0000).



Record 8
DFT (PBE) results for ReAg4Au after structural relaxation.

The calculation puts the density of states at the Fermi level at 0.48 states/eV per atom. The volume comes out at 18.2 Å³ per atom. For the energy relative to the elements, the calculation gives 0.788 eV per atom. The calculation puts the size of the total moment at 2.9 μB per formula unit.

The structure belongs to space group F-43m (No. 216); the cell edges are 7.5885, 7.5885 and 7.5885 Å and the angles 90.00°, 90.00° and 90.00°. The asymmetric unit holds Re at (0.0000, 0.0000, 0.0000), Ag at (0.1251, 0.1251, 0.6251) and Au at (0.2500, 0.2500, 0.2500).



Record 9
DFT (PBE) results for CaNd4In5 after structural relaxation.

The calculation puts the density of states at the Fermi level at 0.65 states/eV per atom. The volume comes out at 29.0 Å³ per atom. For the energy relative to the elements, the calculation gives -0.484 eV per atom. The calculation puts the size of the total moment at 0.0 μB per formula unit.

The structure belongs to space group P4/mmm (No. 123); the cell edges are 3.8495, 3.8495 and 19.5921 Å and the angles 90.00°, 90.00° and 90.00°. The asymmetric unit holds Ca at (0.0000, 0.0000, 0.0000), Nd at (0.0000, 0.0000, 0.1978), Nd at (0.0000, 0.0000, 0.4000), In at (0.5000, 0.5000, 0.0975), In at (0.5000, 0.5000, 0.2999) and In at (0.5000, 0.5000, 0.5000).



Record 10
DFT (PBE) results for Sm7Ho3Tl after structural relaxation.

The calculation puts the density of states at the Fermi level at 1.47 states/eV per atom. The volume comes out at 33.5 Å³ per atom. For the energy relative to the elements, the calculation gives 0.138 eV per atom. The calculation puts the size of the total moment at 0.0 μB per formula unit.

The structure belongs to space group P3m1 (No. 156); the cell edges are 7.0467, 7.0467 and 8.5757 Å and the angles 90.00°, 90.00° and 120.00°. The asymmetric unit holds Sm at (0.0000, 0.0000, 0.0000), Sm at (0.1638, 0.3277, 0.6614), Sm at (0.5018, 0.0036, 0.9918), Ho at (0.3316, 0.1658, 0.3284) and Tl at (0.6667, 0.3333, 0.6522).



Record 11
DFT (PBE) results for Tb12Ho6Th after structural relaxation.

The calculation puts the density of states at the Fermi level at 1.89 states/eV per atom. The volume comes out at 33.0 Å³ per atom. For the energy relative to the elements, the calculation gives 0.217 eV per atom. The calculation puts the size of the total moment at 0.0 μB per formula unit. Its distance to the lowest polymorph of the same formula is 0.0741 eV per atom.

The structure belongs to space group R-3m (No. 166, hexagonal axes); the cell edges are 13.3490, 13.3490 and 12.1802 Å and the angles 90.00°, 90.00° and 120.00°. The asymmetric unit holds Tb at (0.0000, 0.2563, 0.0000), Tb at (0.0901, 0.1803, 0.7561), Ho at (0.0410, 0.5205, 0.1253) and Th at (0.0000, 0.0000, 0.5000).



Record 12
DFT (PBE) results for Tl2SiNiSe after structural relaxation.

The calculation puts the density of states at the Fermi level at 1.09 states/eV per atom. The volume comes out at 25.4 Å³ per atom. The calculation puts the size of the total moment at 0.5 μB per formula unit. The total DFT energy (no corrections) comes out at -17.6 eV for the cell shown.

The structure belongs to space group P4/mmm (No. 123); the cell edges are 5.4210, 5.4210 and 4.3247 Å and the angles 90.00°, 90.00° and 90.00°. The asymmetric unit holds Tl at (0.0000, 0.5000, 0.0000), Si at (0.0000, 0.0000, 0.0000), Ni at (0.0000, 0.0000, 0.5000) and Se at (0.5000, 0.5000, 0.5000).